Entry 1:
VASP calculation (PBE) on a relaxed PmMg3Ga3 crystal.

The structure in CIF format:
```
data_PmMg3Ga3
_chemical_formula_sum 'Pm2 Mg6 Ga6'
_cell_length_a 4.4102
_cell_length_b 7.8841
_cell_length_c 9.7619
_cell_angle_alpha 115.75
_cell_angle_beta 90.00
_cell_angle_gamma 90.00
_symmetry_space_group_name_H-M 'P 1'
_symmetry_Int_Tables_number 1
_symmetry_space_group_name_Hall 'P 1'
loop_
_atom_site_label
_atom_site_type_symbol
_atom_site_fract_x
_atom_site_fract_y
_atom_site_fract_z
_atom_site_occupancy
Mg1 Mg 0.7500 0.2717 0.2509 1
Mg2 Mg 0.2500 0.7283 0.7491 1
Mg3 Mg 0.7500 0.8240 0.0245 1
Mg4 Mg 0.2500 0.0042 0.2517 1
Mg5 Mg 0.7500 0.9958 0.7483 1
Mg6 Mg 0.2500 0.1760 0.9755 1
Ga1 Ga 0.2500 0.3821 0.4751 1
Ga2 Ga 0.7500 0.6179 0.5249 1
Ga3 Ga 0.2500 0.0805 0.5813 1
Ga4 Ga 0.7500 0.9195 0.4187 1
Ga5 Ga 0.7500 0.4287 0.0395 1
Ga6 Ga 0.2500 0.5713 0.9605 1
Pm1 Pm 0.7500 0.3802 0.7068 1
Pm2 Pm 0.2500 0.6198 0.2932 1
```

Calculated values
- Formation energy: -1.90 eV/f.u.
- E_tot: -41.03 eV per cell
- Fermi-level density of states: 5.9 states/eV/cell

***

Entry 2:
VASP calculation (PBE) on a relaxed Ca2FeRu crystal.

The structure in CIF format:
```
data_Ca2FeRu
_chemical_formula_sum 'Ca2 Fe1 Ru1'
_cell_length_a 4.3400
_cell_length_b 4.3322
_cell_length_c 4.3466
_cell_angle_alpha 90.00
_cell_angle_beta 90.00
_cell_angle_gamma 90.00
_symmetry_space_group_name_H-M 'P 1'
_symmetry_Int_Tables_number 1
_symmetry_space_group_name_Hall 'P 1'
loop_
_atom_site_label
_atom_site_type_symbol
_atom_site_fract_x
_atom_site_fract_y
_atom_site_fract_z
_atom_site_occupancy
Ca1 Ca 0.5000 0.5000 0.0000 1
Ca2 Ca 0.0000 0.0000 0.0000 1
Fe1 Fe 0.5000 0.0000 0.5000 1
Ru1 Ru 0.0000 0.5000 0.5000 1
```

Calculated values
- Formation energy: 2.30 eV/f.u.
- E_tot: -19.44 eV per cell
- Fermi-level density of states: 5.0 states/eV/cell

***

Entry 3:
VASP calculation (PBE) on a relaxed Dy12Y6Tm crystal.

The structure in CIF format:
```
data_Dy12Y6Tm
_chemical_formula_sum 'Dy12 Y6 Tm1'
_cell_length_a 9.3991
_cell_length_b 9.3991
_cell_length_c 9.3991
_cell_angle_alpha 108.67
_cell_angle_beta 108.67
_cell_angle_gamma 108.67
_symmetry_space_group_name_H-M 'P 1'
_symmetry_Int_Tables_number 1
_symmetry_space_group_name_Hall 'P 1'
loop_
_atom_site_label
_atom_site_type_symbol
_atom_site_fract_x
_atom_site_fract_y
_atom_site_fract_z
_atom_site_occupancy
Dy1 Dy 0.5000 0.1086 0.8914 1
Dy2 Dy 0.8914 0.1086 0.5000 1
Dy3 Dy 0.6452 0.6452 0.8569 1
Y1 Y 0.6737 0.2528 0.6737 1
Dy4 Dy 0.1086 0.8914 0.5000 1
Tm1 Tm 0.0000 0.0000 0.0000 1
Y2 Y 0.2528 0.6737 0.6737 1
Dy5 Dy 0.1086 0.5000 0.8914 1
Dy6 Dy 0.5000 0.8914 0.1086 1
Y3 Y 0.3263 0.3263 0.7472 1
Y4 Y 0.7472 0.3263 0.3263 1
Dy7 Dy 0.1431 0.3548 0.3548 1
Dy8 Dy 0.3548 0.1431 0.3548 1
Dy9 Dy 0.3548 0.3548 0.1431 1
Dy10 Dy 0.8569 0.6452 0.6452 1
Dy11 Dy 0.6452 0.8569 0.6452 1
Y5 Y 0.3263 0.7472 0.3263 1
Dy12 Dy 0.8914 0.5000 0.1086 1
Y6 Y 0.6737 0.6737 0.2528 1
```

Calculated values
- Formation energy: 8.70 eV/f.u.
- E_tot: -89.78 eV per cell
- Fermi-level density of states: 25.5 states/eV/cell

***

Entry 4:
VASP calculation (PBE) on a relaxed CaY2Sb crystal.

The structure in CIF format:
```
data_CaY2Sb
_chemical_formula_sum 'Ca1 Y2 Sb1'
_cell_length_a 4.9250
_cell_length_b 4.9250
_cell_length_c 4.7417
_cell_angle_alpha 90.00
_cell_angle_beta 90.00
_cell_angle_gamma 90.00
_symmetry_space_group_name_H-M 'P 1'
_symmetry_Int_Tables_number 1
_symmetry_space_group_name_Hall 'P 1'
loop_
_atom_site_label
_atom_site_type_symbol
_atom_site_fract_x
_atom_site_fract_y
_atom_site_fract_z
_atom_site_occupancy
Y1 Y 0.5000 0.5000 0.0000 1
Y2 Y 0.0000 0.0000 0.0000 1
Ca1 Ca 0.5000 0.0000 0.5000 1
Sb1 Sb 0.0000 0.5000 0.5000 1
```

Calculated values
- E_tot: -20.69 eV per cell
- Fermi-level density of states: 5.2 states/eV/cell

***

Calculated E above lowest polymorph (meV per atom), listed in the same order as above: 0; 354; 283; 51